## Ca4GaAu3 (PBE-GGA)

Data for an optimized crystal structure of Ca4GaAu3.

Unit cell a=4.014 b=4.571 c=11.292 alpha=90.00 beta=90.00 gamma=90.00
Element x y z (fractional)
Ca: 0.500 0.500 0.360
Ca: 0.000 0.500 0.855
Ca: 0.000 0.000 0.143
Ca: 0.500 0.000 0.643
Au: 0.000 0.500 0.581
Au: 0.000 0.000 0.418
Au: 0.500 0.000 0.929
Ga: 0.500 0.500 0.072

## Properties
The value obtained for the total magnetic moment is 0.00 μB/f.u. The value obtained for the density of states at the Fermi level is 0.449 states/eV per atom. The calculation puts the final energy at -26.6 eV/cell. Its space group is Pmm2. The value obtained for the formation energy is -5.70 eV per formula unit. The value obtained for the volume is 207.2 Å³/cell. The calculation puts the mass density at 6.58 Mg/m³.